a.
An optimized crystal structure of La3YGe, computed with PBE-GGA.

Values from the calculation:
The space group is No. 221. For the calculated density, the calculation gives 4.84 g cm⁻³.

Lattice parameters (Å, degrees): 5.834 5.834 5.834 90.00 90.00 90.00
Each line ends with the local moment (μB).
Sites, in units of the cell vectors:
Y: 0.500 0.500 0.500  0.22
La: 0.000 0.000 0.500  0.14
La: 0.000 0.500 0.000  0.14
La: 0.500 0.000 0.000  0.14
Ge: 0.000 0.000 0.000  0.06

b.
An optimized crystal structure of La3YGe, computed with PBE-GGA.

Values from the calculation:
The space group is No. 221. For the calculated density, the calculation gives 5.24 g cm⁻³.

Lattice parameters (Å, degrees): 5.679 5.679 5.679 90.00 90.00 90.00
Sites, in units of the cell vectors:
La: 0.000 0.000 0.500
Y: 0.000 0.000 0.000
Ge: 0.500 0.500 0.500
La: 0.500 0.000 0.000
La: 0.000 0.500 0.000

Which of them is the least stable? Correct choice: b.

a.
An optimized crystal structure of La2Zn5Ge3, computed with PBE-GGA.

Values from the calculation:
The space group is No. 72. For the calculated density, the calculation gives 6.88 g cm⁻³.

Lattice parameters (Å, degrees): 6.096 8.684 8.684 74.09 69.45 69.45
Sites, in units of the cell vectors:
Zn: 0.138 0.979 0.745
Ge: 0.750 0.000 0.000
Zn: 0.519 0.731 0.731
Ge: 0.883 0.764 0.471
Zn: 0.981 0.269 0.269
La: 0.624 0.113 0.639
Ge: 0.617 0.529 0.236
Zn: 0.862 0.021 0.255
Zn: 0.481 0.269 0.269
La: 0.876 0.361 0.887
Zn: 0.250 0.500 0.500
La: 0.124 0.639 0.113
Zn: 0.750 0.500 0.500
Ge: 0.383 0.471 0.764
La: 0.376 0.887 0.361
Zn: 0.638 0.745 0.979
Ge: 0.117 0.236 0.529
Zn: 0.019 0.731 0.731
Ge: 0.250 0.000 0.000
Zn: 0.362 0.255 0.021

b.
An optimized crystal structure of La2Zn5Ge3, computed with PBE-GGA.

Values from the calculation:
The space group is No. 115. For the calculated density, the calculation gives 6.73 g cm⁻³.

Lattice parameters (Å, degrees): 4.479 4.479 10.110 90.00 90.00 90.00
Sites, in units of the cell vectors:
Ge: 0.000 0.500 0.364
Zn: 0.000 0.500 0.120
Zn: 0.500 0.500 0.000
Zn: 0.000 0.000 0.000
La: 0.000 0.500 0.752
Zn: 0.500 0.500 0.500
Ge: 0.000 0.000 0.500
La: 0.500 0.000 0.248
Ge: 0.500 0.000 0.636
Zn: 0.500 0.000 0.880

Which of them is the least stable? Correct choice: b.

a.
An optimized crystal structure of La3Zn2Ge3, computed with PBE-GGA.

Values from the calculation:
The space group is No. 63. For the calculated density, the calculation gives 6.68 g cm⁻³.

Lattice parameters (Å, degrees): 4.378 6.216 14.947 90.00 90.00 110.62
Each line ends with the local moment (μB).
Sites, in units of the cell vectors:
La: 0.929 0.857 0.109  0.07
La: 0.071 0.143 0.609  0.07
La: 0.071 0.143 0.891  0.07
Ge: 0.353 0.706 0.250  0.00
Zn: 0.229 0.459 0.405  0.01
La: 0.645 0.289 0.250  0.14
Ge: 0.647 0.294 0.750  0.00
Zn: 0.771 0.541 0.595  0.01
Zn: 0.229 0.459 0.095  0.01
Ge: 0.371 0.742 0.955  -0.01
Ge: 0.629 0.258 0.455  -0.01
Ge: 0.371 0.742 0.545  -0.01
La: 0.929 0.857 0.391  0.07
La: 0.355 0.711 0.750  0.14
Zn: 0.771 0.541 0.905  0.01
Ge: 0.629 0.258 0.045  -0.01

b.
An optimized crystal structure of La3Zn2Ge3, computed with PBE-GGA.

Values from the calculation:
The space group is No. 63. For the calculated density, the calculation gives 6.53 g cm⁻³.

Lattice parameters (Å, degrees): 4.318 6.097 15.806 90.00 90.00 110.74
Sites, in units of the cell vectors:
Zn: 0.147 0.294 0.119
La: 0.444 0.887 0.750
Ge: 0.579 0.158 0.055
Zn: 0.853 0.706 0.619
Ge: 0.421 0.842 0.555
La: 0.856 0.711 0.405
Ge: 0.283 0.566 0.250
La: 0.856 0.711 0.095
Ge: 0.579 0.158 0.445
La: 0.144 0.289 0.595
Ge: 0.421 0.842 0.945
La: 0.144 0.289 0.905
Ge: 0.717 0.434 0.750
Zn: 0.853 0.706 0.881
La: 0.556 0.113 0.250
Zn: 0.147 0.294 0.381

Which of them is the least stable? Correct choice: b.

a.
An optimized crystal structure of LaZn3Ge, computed with PBE-GGA.

Values from the calculation:
The space group is No. 221. For the calculated density, the calculation gives 5.77 g cm⁻³.

Lattice parameters (Å, degrees): 4.896 4.896 4.896 90.00 90.00 90.00
Sites, in units of the cell vectors:
La: 0.500 0.500 0.500
Zn: 0.000 0.500 0.000
Zn: 0.500 0.000 0.000
Ge: 0.000 0.000 0.000
Zn: 0.000 0.000 0.500

b.
An optimized crystal structure of LaZn3Ge, computed with PBE-GGA.

Values from the calculation:
The space group is No. 63. For the calculated density, the calculation gives 6.89 g cm⁻³.

Lattice parameters (Å, degrees): 5.984 6.172 6.126 119.75 90.00 90.00
Sites, in units of the cell vectors:
La: 0.750 0.494 0.247
Zn: 0.750 0.753 0.876
La: 0.250 0.506 0.753
Zn: 0.500 0.000 0.743
Ge: 0.250 0.714 0.357
Ge: 0.750 0.286 0.643
Zn: 0.500 0.000 0.257
Zn: 0.250 0.247 0.124
Zn: 0.000 0.000 0.257
Zn: 0.000 0.000 0.743

Which of them is the least stable? Correct choice: a.

a.
An optimized crystal structure of LaZr3Ge, computed with PBE-GGA.

Values from the calculation:
The space group is No. 221. For the calculated density, the calculation gives 5.78 g cm⁻³.

Lattice parameters (Å, degrees): 5.185 5.185 5.185 90.00 90.00 90.00
Sites, in units of the cell vectors:
Zr: 0.000 0.500 0.000
La: 0.500 0.500 0.500
Zr: 0.000 0.000 0.500
Ge: 0.000 0.000 0.000
Zr: 0.500 0.000 0.000

b.
An optimized crystal structure of LaZr3Ge, computed with PBE-GGA.

Values from the calculation:
The space group is No. 221. For the calculated density, the calculation gives 6.03 g cm⁻³.

Lattice parameters (Å, degrees): 5.112 5.112 5.112 90.00 90.00 90.00
Sites, in units of the cell vectors:
Zr: 0.500 0.000 0.000
Zr: 0.000 0.000 0.500
La: 0.000 0.000 0.000
Ge: 0.500 0.500 0.500
Zr: 0.000 0.500 0.000

Which of them is the least stable? Correct choice: b.

a.
An optimized crystal structure of LiGe2, computed with PBE-GGA.

Values from the calculation:
The space group is No. 227. For the calculated density, the calculation gives 4.22 g cm⁻³.

Lattice parameters (Å, degrees): 5.533 5.533 5.533 60.00 60.00 60.00
Sites, in units of the cell vectors:
Ge: 0.625 0.625 0.125
Li: 0.000 0.000 0.000
Ge: 0.125 0.625 0.625
Li: 0.250 0.250 0.250
Ge: 0.625 0.125 0.625
Ge: 0.625 0.625 0.625

b.
An optimized crystal structure of LiGe2, computed with PBE-GGA.

Values from the calculation:
The space group is No. 10. For the calculated density, the calculation gives 4.88 g cm⁻³.

Lattice parameters (Å, degrees): 5.454 2.739 6.984 90.00 96.84 90.00
Sites, in units of the cell vectors:
Ge: 0.000 0.000 0.500
Ge: 0.310 0.000 0.854
Ge: 0.690 0.000 0.146
Li: 0.194 0.500 0.191
Li: 0.806 0.500 0.809
Ge: 0.500 0.000 0.500

c.
An optimized crystal structure of LiGe2, computed with PBE-GGA.

Values from the calculation:
The space group is No. 10. For the calculated density, the calculation gives 4.84 g cm⁻³.

Lattice parameters (Å, degrees): 4.578 2.749 4.725 90.00 118.56 90.00
Sites, in units of the cell vectors:
Ge: 0.337 0.000 0.175
Li: 0.000 0.500 0.500
Ge: 0.663 0.000 0.825

d.
An optimized crystal structure of LiGe2, computed with PBE-GGA.

Values from the calculation:
The space group is No. 139. For the calculated density, the calculation gives 4.70 g cm⁻³.

Lattice parameters (Å, degrees): 3.540 3.540 4.970 110.86 110.86 90.00
Sites, in units of the cell vectors:
Ge: 0.321 0.321 0.642
Ge: 0.679 0.679 0.358
Li: 0.000 0.000 0.000

Which of them is the least stable? Correct choice: a.